DFT (PBE-GGA) results for LaYB2 after structural relaxation.

Lattice parameters (Å, degrees): 4.7047 4.7047 4.7047 60.00 60.00 60.00
Sites, in units of the cell vectors:
La: 0.0000 0.0000 0.0000
Y: 0.5000 0.5000 0.5000
B: 0.2500 0.2500 0.2500
B: 0.7500 0.7500 0.7500

Results
- V: 18.408 Å³ per atom
- ΔE to the lowest computed polymorph: 0 meV per atom
- Formation energy from the elements: 0.3582 eV/atom
- M_tot: 0.000 μB per atom
- Space group: Fm-3m, No. 225